Record 1
Computed, not measured: an optimized crystal structure of SrUAg2S4 at the GGA-PBE level of DFT.

Structure (extended XYZ):
```
16
Lattice="5.431 0.000 0.000 0.000 5.431 0.000 0.000 0.000 13.357" Properties=species:S:1:pos:R:3 pbc="T T T"
Sr 0.000 0.000 0.000
Sr 2.716 2.716 6.678
U 0.000 2.716 10.018
U 2.716 0.000 3.339
Ag 0.000 0.000 6.678
Ag 0.000 2.716 3.339
Ag 2.716 0.000 10.018
Ag 2.716 2.716 0.000
S 0.000 0.000 3.120
S 0.000 0.000 10.236
S 0.000 2.716 7.351
S 0.000 2.716 12.684
S 2.716 0.000 0.673
S 2.716 0.000 6.006
S 2.716 2.716 3.558
S 2.716 2.716 9.799
```

Computed properties:
Formation energy from raw total energies in kJ/mol of atoms: -97

=====

Record 2
Computed, not measured: an optimized crystal structure of YNi2Os at the GGA-PBE level of DFT.

Structure (extended XYZ):
```
4
Lattice="4.115 0.000 0.000 0.000 4.115 0.000 0.000 0.000 3.603" Properties=species:S:1:pos:R:3 pbc="T T T"
Y 0.000 0.000 0.000
Ni 0.000 2.058 1.801
Ni 2.058 0.000 1.801
Os 2.058 2.058 0.000
```

Computed properties:
E above lowest polymorph in eV per atom: 0.231
Formation energy from the elements in eV per atom: 0.08

=====

Record 3
Computed, not measured: an optimized crystal structure of Cd2ReSbPb at the GGA-PBE level of DFT.

Structure (extended XYZ):
```
5
Lattice="5.325 0.000 0.000 0.000 5.325 0.000 0.000 0.000 5.268" Properties=species:S:1:pos:R:3 pbc="T T T"
Cd 0.000 2.662 0.000
Cd 2.662 0.000 0.000
Re 0.000 0.000 0.000
Sb 2.662 2.662 2.634
Pb 0.000 0.000 2.634
```

Computed properties:
Formation energy from raw total energies in kJ/mol of atoms: 91

=====

Record 4
Computed, not measured: an optimized crystal structure of Li3Pr2ZnCu12 at the GGA-PBE level of DFT.

Structure (extended XYZ):
```
18
Lattice="4.232 2.443 5.532 -4.232 2.443 5.532 0.000 -4.887 5.532" Properties=species:S:1:pos:R:3 pbc="T T T"
Li -2.116 -1.222 5.532
Li -2.116 1.222 11.063
Li 0.000 2.443 5.532
Pr 0.000 0.000 1.621
Pr 0.000 0.000 14.974
Zn 0.000 0.000 8.297
Cu 0.000 -1.849 3.891
Cu -1.602 0.925 3.891
Cu -2.078 -1.200 8.169
Cu 0.000 -2.399 8.426
Cu -2.078 1.200 8.426
Cu 1.602 0.925 3.891
Cu -1.602 -0.925 12.704
Cu 2.078 -1.200 8.169
Cu 0.000 2.399 8.169
Cu 2.078 1.200 8.426
Cu 1.602 -0.925 12.704
Cu 0.000 1.849 12.704
```

Computed properties:
Formation energy from the elements in eV per atom: 0.23

=====

Record 5
Computed, not measured: an optimized crystal structure of Fe2MoCl at the GGA-PBE level of DFT.

Structure (extended XYZ):
```
8
Lattice="2.788 0.000 0.000 0.000 4.330 0.000 0.000 0.000 8.628" Properties=species:S:1:pos:R:3 pbc="T T T"
Fe 0.000 0.000 1.995
Fe 0.000 0.000 6.632
Fe 1.394 2.165 2.318
Fe 1.394 2.165 6.309
Mo 0.000 2.165 0.000
Mo 1.394 0.000 4.314
Cl 0.000 2.165 4.314
Cl 1.394 0.000 0.000
```

Computed properties:
E above lowest polymorph in eV per atom: 0.422
Formation energy from raw total energies in kJ/mol of atoms: 57

=====

Record 6
Computed, not measured: an optimized crystal structure of LiMo4Pt at the GGA-PBE level of DFT.

Structure (extended XYZ):
```
6
Lattice="0.000 3.671 3.671 3.671 0.000 3.671 3.671 3.671 0.000" Properties=species:S:1:pos:R:3 pbc="T T T"
Li 0.000 0.000 0.000
Mo 4.603 2.740 2.740
Mo 2.740 4.603 2.740
Mo 2.740 2.740 4.603
Mo 4.603 4.603 4.603
Pt 1.836 1.836 1.836
```

Computed properties:
Formation energy from the elements in eV per atom: 0.31

=====

Record 7
Computed, not measured: an optimized crystal structure of La2ReAu at the GGA-PBE level of DFT.

Structure (extended XYZ):
```
8
Lattice="4.428 0.000 0.000 0.000 4.428 0.000 0.000 0.000 9.626" Properties=species:S:1:pos:R:3 pbc="T T T"
La 0.000 0.000 0.000
La 0.000 2.214 2.406
La 2.214 0.000 7.219
La 2.214 2.214 4.813
Re 0.000 2.214 7.219
Re 2.214 0.000 2.406
Au 0.000 0.000 4.813
Au 2.214 2.214 0.000
```

Computed properties:
E above lowest polymorph in eV per atom: 0.293
Formation energy from the elements in eV per atom: 0.12

=====

Record 8
Computed, not measured: an optimized crystal structure of Ce2Si4TcIr3 at the GGA-PBE level of DFT.

Structure (extended XYZ):
```
10
Lattice="4.237 0.000 0.000 0.000 4.237 0.000 0.000 0.000 9.662" Properties=species:S:1:pos:R:3 pbc="T T T"
Ce 0.000 2.119 2.415
Ce 2.119 0.000 7.248
Si 0.000 0.000 0.000
Si 0.000 2.119 6.031
Si 2.119 0.000 3.632
Si 2.119 2.119 0.000
Tc 0.000 0.000 4.831
Ir 0.000 2.119 8.452
Ir 2.119 0.000 1.211
Ir 2.119 2.119 4.831
```

Computed properties:
Formation energy from raw total energies in kJ/mol of atoms: -92

=====

Record 9
Computed, not measured: an optimized crystal structure of LaZrIn2 at the GGA-PBE level of DFT.

Structure (extended XYZ):
```
8
Lattice="4.553 0.000 0.000 0.000 4.553 0.000 0.000 0.000 10.235" Properties=species:S:1:pos:R:3 pbc="T T T"
La 0.000 0.000 0.000
La 2.277 2.277 5.117
Zr 0.000 2.277 7.676
Zr 2.277 0.000 2.559
In 0.000 0.000 5.117
In 0.000 2.277 2.559
In 2.277 0.000 7.676
In 2.277 2.277 0.000
```

Computed properties:
Formation energy from the elements in eV per atom: -0.20

=====

Record 10
Computed, not measured: an optimized crystal structure of ZrCuPCl2 at the GGA-PBE level of DFT.

Structure (extended XYZ):
```
5
Lattice="4.397 0.000 0.000 0.000 4.397 0.000 0.000 0.000 5.158" Properties=species:S:1:pos:R:3 pbc="T T T"
Zr 0.000 0.000 0.000
Cu 2.198 2.198 2.579
P 2.198 2.198 0.000
Cl 0.000 2.198 2.579
Cl 2.198 0.000 2.579
```

Computed properties:
E above lowest polymorph in eV per atom: 0.321
Formation energy from raw total energies in kJ/mol of atoms: 6

=====

Record 11
Computed, not measured: an optimized crystal structure of Y2Cd5Hg3 at the GGA-PBE level of DFT.

Structure (extended XYZ):
```
20
Lattice="-6.109 6.613 3.067 6.109 -6.613 3.067 6.109 6.613 -3.067" Properties=species:S:1:pos:R:3 pbc="T T T"
Y 1.532 3.158 0.000
Y 7.641 3.455 0.000
Y -1.532 3.158 3.067
Y 4.577 3.455 3.067
Cd 4.596 1.915 0.000
Cd 3.063 6.613 -1.533
Cd 0.000 0.000 1.533
Cd 3.046 0.000 1.533
Cd 4.596 -1.915 3.067
Cd 1.513 8.528 0.000
Cd 3.063 6.613 1.533
Cd 0.000 0.000 4.600
Cd 3.046 0.000 4.600
Cd 1.513 4.699 3.067
Hg 4.553 -4.640 3.067
Hg 6.109 0.000 1.533
Hg 4.553 4.640 0.000
Hg 1.555 1.973 3.067
Hg 0.000 6.613 1.533
Hg 1.555 11.253 0.000
```

Computed properties:
Formation energy from the elements in eV per atom: -0.16

=====

Record 12
Computed, not measured: an optimized crystal structure of BaGa2Sb2 at the GGA-PBE level of DFT.

Structure (extended XYZ):
```
40
Lattice="25.855 0.000 0.000 0.000 4.518 0.000 0.000 0.000 10.377" Properties=species:S:1:pos:R:3 pbc="T T T"
Ba 0.973 1.129 2.300
Ba 5.381 3.388 4.660
Ba 7.546 1.129 9.849
Ba 11.955 3.388 7.489
Ba 13.900 1.129 2.888
Ba 18.309 3.388 0.529
Ba 20.474 1.129 5.718
Ba 24.883 3.388 8.077
Ga 0.885 1.129 6.253
Ga 2.031 1.129 8.546
Ga 4.705 3.388 0.327
Ga 5.560 3.388 8.252
Ga 7.368 1.129 3.063
Ga 8.223 1.129 5.516
Ga 10.897 3.388 3.357
Ga 12.043 3.388 1.064
Ga 13.813 1.129 9.313
Ga 14.958 1.129 7.021
Ga 17.633 3.388 4.861
Ga 18.488 3.388 7.315
Ga 20.295 1.129 2.126
Ga 21.150 1.129 10.050
Ga 23.825 3.388 1.832
Ga 24.970 3.388 4.124
Sb 1.827 3.388 5.007
Sb 2.030 3.388 10.117
Sb 4.406 1.129 7.246
Sb 4.795 1.129 1.925
Sb 8.132 3.388 7.114
Sb 8.521 3.388 2.058
Sb 10.898 1.129 4.929
Sb 11.101 1.129 10.196
Sb 14.755 3.388 0.182
Sb 14.958 3.388 5.449
Sb 17.334 1.129 8.320
Sb 17.723 1.129 3.264
Sb 21.060 3.388 8.453
Sb 21.449 3.388 3.131
Sb 23.825 1.129 0.260
Sb 24.028 1.129 5.370
```

Computed properties:
Formation energy from raw total energies in kJ/mol of atoms: -51

=====

Number 1: DOS(E_F) 0.764 states/eV per atom, E -5.402 eV/atom. Number 2: DOS(E_F) 1.792 states/eV per atom, E -7.231 eV/atom. Number 3: DOS(E_F) 0.632 states/eV per atom, E -3.484 eV/atom. Number 4: DOS(E_F) 0.458 states/eV per atom, E -3.423 eV/atom. Number 5: DOS(E_F) 1.151 states/eV per atom, E -6.807 eV/atom. Number 6: DOS(E_F) 0.460 states/eV per atom, E -8.236 eV/atom. Number 7: DOS(E_F) 0.878 states/eV per atom, E -6.270 eV/atom. Number 8: DOS(E_F) 0.871 states/eV per atom, E -8.004 eV/atom. Number 9: DOS(E_F) 0.691 states/eV per atom, E -4.940 eV/atom. Number 10: DOS(E_F) 0.727 states/eV per atom, E -4.290 eV/atom. Number 11: DOS(E_F) 0.459 states/eV per atom, E -2.001 eV/atom. Number 12: DOS(E_F) 0.080 states/eV per atom, E -3.774 eV/atom.